The following is a DFT calculation (GGA-PBE) of a geometry-optimized LiCaMg structure.

The calculation puts the formation enthalpy at 0 K at 123 kJ/mol of formula units. For the raw total energy, the calculation gives -1.41 eV/atom. Its density of states at the Fermi level is 12.28 states/eV per cell. The energy above the lowest structure with this stoichiometry comes out at 506 meV per atom. As for the size of the total moment: 0.000 μB/f.u.

It has space group F-43m (No. 216), with a = 7.607 Å, b = 7.607 Å, c = 7.607 Å, α = 90.00°, β = 90.00° and γ = 90.00°. Symmetry generates all atoms from Li at (0.000, 0.000, 0.000), Ca at (0.250, 0.250, 0.250) and Mg at (0.000, 0.000, 0.500).

=====

The following is a DFT calculation (GGA-PBE) of a geometry-optimized Li2Ca2Mg structure.

The calculation puts the formation enthalpy at 0 K at 25 kJ/mol of formula units. For the raw total energy, the calculation gives -1.83 eV/atom. Its density of states at the Fermi level is 5.59 states/eV per cell. The energy above the lowest structure with this stoichiometry comes out at 79 meV per atom. As for the size of the total moment: 0.000 μB/f.u.

It has space group I4/mmm (No. 139), with a = 3.884 Å, b = 3.884 Å, c = 19.692 Å, α = 90.00°, β = 90.00° and γ = 90.00°. Symmetry generates all atoms from Li at (0.000, 0.500, 0.250), Ca at (0.000, 0.000, 0.104) and Mg at (0.000, 0.000, 0.500).

=====

The following is a DFT calculation (GGA-PBE) of a geometry-optimized Li4CaMg4 structure.

The calculation puts the formation enthalpy at 0 K at -18 kJ/mol of formula units. For the raw total energy, the calculation gives -1.80 eV/atom. Its density of states at the Fermi level is 7.75 states/eV per cell. The energy above the lowest structure with this stoichiometry comes out at 0 meV per atom. As for the size of the total moment: 0.000 μB/f.u.

It has space group I4/mmm (No. 139), with a = 10.680 Å, b = 10.680 Å, c = 3.605 Å, α = 90.00°, β = 90.00° and γ = 90.00°. Symmetry generates all atoms from Li at (0.183, 0.183, 0.000), Ca at (0.000, 0.000, 0.500) and Mg at (0.000, 0.330, 0.500).

=====

The following is a DFT calculation (GGA-PBE) of a geometry-optimized LiCa5Mg6 structure.

The calculation puts the formation enthalpy at 0 K at -62 kJ/mol of formula units. For the raw total energy, the calculation gives -1.84 eV/atom. Its density of states at the Fermi level is 10.28 states/eV per cell. As for the size of the total moment: 0.000 μB/f.u.

It has space group P-1 (No. 2), with a = 5.511 Å, b = 7.749 Å, c = 9.547 Å, α = 66.07°, β = 74.23° and γ = 89.98°. Symmetry generates all atoms from Li at (0.000, 0.000, 0.000), Ca at (0.000, 0.500, 0.000), Ca at (0.311, 0.814, 0.371), Ca at (0.336, 0.338, 0.324), Mg at (0.157, 0.374, 0.697), Mg at (0.157, 0.930, 0.697) and Mg at (0.499, 0.788, 0.001).

=====

The following is a DFT calculation (GGA-PBE) of a geometry-optimized LiCaMg2 structure.

The calculation puts the formation enthalpy at 0 K at -1 kJ/mol of formula units. For the raw total energy, the calculation gives -1.78 eV/atom. Its density of states at the Fermi level is 2.34 states/eV per cell. The energy above the lowest structure with this stoichiometry comes out at 55 meV per atom. As for the size of the total moment: 0.000 μB/f.u.

It has space group P4/mmm (No. 123), with a = 4.718 Å, b = 4.718 Å, c = 4.870 Å, α = 90.00°, β = 90.00° and γ = 90.00°. Symmetry generates all atoms from Li at (0.000, 0.000, 0.000), Ca at (0.500, 0.500, 0.000) and Mg at (0.000, 0.500, 0.500).

=====

The following is a DFT calculation (GGA-PBE) of a geometry-optimized LiCaMg3 structure.

The calculation puts the formation enthalpy at 0 K at 11 kJ/mol of formula units. For the raw total energy, the calculation gives -1.72 eV/atom. Its density of states at the Fermi level is 6.87 states/eV per cell. The energy above the lowest structure with this stoichiometry comes out at 23 meV per atom. As for the size of the total moment: 0.000 μB/f.u.

It has space group P6_3/mmc (No. 194), with a = 7.1325 Å, b = 7.1325 Å, c = 5.8141 Å, α = 90.00°, β = 90.00° and γ = 120.00°. Symmetry generates all atoms from Li at (0.0000, 0.0000, 0.0000), Ca at (0.3333, 0.6667, 0.2500) and Mg at (0.1886, 0.3772, 0.7500).

=====

The following is a DFT calculation (GGA-PBE) of a geometry-optimized Li10CaMg2 structure.

The calculation puts the formation enthalpy at 0 K at 5 kJ/mol of formula units. For the raw total energy, the calculation gives -1.87 eV/atom. Its density of states at the Fermi level is 23.05 states/eV per cell. As for the size of the total moment: 0.000 μB/f.u.

It has space group Fmmm (No. 69), with a = 5.851 Å, b = 14.077 Å, c = 14.380 Å, α = 90.00°, β = 90.00° and γ = 90.00°. Symmetry generates all atoms from Li at (0.000, 0.107, 0.109), Li at (0.000, 0.179, 0.322), Li at (0.250, 0.000, 0.250), Ca at (0.000, 0.000, 0.500) and Mg at (0.250, 0.250, 0.000).

=====

The following is a DFT calculation (GGA-PBE) of a geometry-optimized Li9Ca3Mg2 structure.

The calculation puts the formation enthalpy at 0 K at 15 kJ/mol of formula units. For the raw total energy, the calculation gives -1.88 eV/atom. Its density of states at the Fermi level is 17.59 states/eV per cell. As for the size of the total moment: 0.000 μB/f.u.

It has space group Immm (No. 71), with a = 4.936 Å, b = 10.016 Å, c = 14.377 Å, α = 90.00°, β = 90.00° and γ = 90.00°. Symmetry generates all atoms from Li at (0.000, 0.000, 0.000), Li at (0.000, 0.145, 0.324), Li at (0.000, 0.220, 0.128), Ca at (0.000, 0.500, 0.000), Ca at (0.000, 0.500, 0.304) and Mg at (0.000, 0.295, 0.500).

=====

The following is a DFT calculation (GGA-PBE) of a geometry-optimized LiCaMg2 structure.

The calculation puts the formation enthalpy at 0 K at -22 kJ/mol of formula units. For the raw total energy, the calculation gives -1.83 eV/atom. Its density of states at the Fermi level is 2.26 states/eV per cell. The energy above the lowest structure with this stoichiometry comes out at 0 meV per atom. As for the size of the total moment: 0.000 μB/f.u.

It has space group P4/mmm (No. 123), with a = 3.641 Å, b = 3.641 Å, c = 7.793 Å, α = 90.00°, β = 90.00° and γ = 90.00°. Symmetry generates all atoms from Li at (0.000, 0.000, 0.000), Ca at (0.000, 0.000, 0.500) and Mg at (0.500, 0.500, 0.204).

=====

The following is a DFT calculation (GGA-PBE) of a geometry-optimized Li2Ca4Mg structure.

The calculation puts the formation enthalpy at 0 K at 34 kJ/mol of formula units. For the raw total energy, the calculation gives -1.87 eV/atom. Its density of states at the Fermi level is 25.57 states/eV per cell. The energy above the lowest structure with this stoichiometry comes out at 0 meV per atom. As for the size of the total moment: 0.000 μB/f.u.

It has space group R-3m (No. 166, hexagonal axes), with a = 5.7208 Å, b = 5.7208 Å, c = 24.1411 Å, α = 90.00°, β = 90.00° and γ = 120.00°. Symmetry generates all atoms from Li at (0.0000, 0.0000, 0.2214), Ca at (0.0000, 0.0000, 0.0895), Ca at (0.0000, 0.0000, 0.3597) and Mg at (0.0000, 0.0000, 0.5000).

=====

The following is a DFT calculation (GGA-PBE) of a geometry-optimized LiCa3Mg structure.

The calculation puts the formation enthalpy at 0 K at -7 kJ/mol of formula units. For the raw total energy, the calculation gives -1.92 eV/atom. Its density of states at the Fermi level is 15.75 states/eV per cell. The energy above the lowest structure with this stoichiometry comes out at 8 meV per atom. As for the size of the total moment: 0.000 μB/f.u.

It has space group Cm (No. 8), with a = 20.213 Å, b = 3.821 Å, c = 8.847 Å, α = 90.00°, β = 101.71° and γ = 90.00°. Symmetry generates all atoms from Li at (0.000, 0.000, 0.000), Li at (0.081, 0.500, 0.229), Ca at (0.088, 0.500, 0.790), Ca at (0.193, 0.000, 0.531), Ca at (0.201, 0.000, 0.110), Ca at (0.380, 0.000, 0.119), Ca at (0.389, 0.000, 0.698), Ca at (0.493, 0.500, 0.439), Mg at (0.271, 0.500, 0.847) and Mg at (0.311, 0.500, 0.382).

=====

The following is a DFT calculation (GGA-PBE) of a geometry-optimized LiCa3Mg2 structure.

The calculation puts the formation enthalpy at 0 K at -31 kJ/mol of formula units. For the raw total energy, the calculation gives -1.90 eV/atom. Its density of states at the Fermi level is 5.06 states/eV per cell. As for the size of the total moment: 0.000 μB/f.u.

It has space group P4/mmm (No. 123), with a = 3.950 Å, b = 3.950 Å, c = 11.993 Å, α = 90.00°, β = 90.00° and γ = 90.00°. Symmetry generates all atoms from Li at (0.000, 0.000, 0.000), Ca at (0.500, 0.500, 0.168), Ca at (0.500, 0.500, 0.500) and Mg at (0.000, 0.000, 0.334).